1.
Crystalline HfCdRu3 at its relaxed geometry. Source: Alexandria, functional PBEsol.

It has space group Pm-3m (No. 221), with a = 4.6547 Å, b = 4.6547 Å, c = 4.6547 Å, α = 90.00°, β = 90.00° and γ = 90.00°. The inequivalent atoms are Hf at (0.0000, 0.0000, 0.0000), Cd at (0.5000, 0.5000, 0.5000) and Ru at (0.0000, 0.5000, 0.5000).

Its total DFT energy (no corrections) is -6.46 eV/atom. Its energy of formation is 955 kJ/mol of formula units.


2.
Crystalline HfCdS2 at its relaxed geometry. Source: Alexandria, functional PBEsol.

It has space group I-42d (No. 122), with a = 7.1369 Å, b = 7.1369 Å, c = 9.7466 Å, α = 90.00°, β = 90.00° and γ = 90.00°. The inequivalent atoms are Hf at (0.0000, 0.0000, 0.0000), Cd at (0.0000, 0.0000, 0.5000) and S at (0.1375, 0.2500, 0.1250).

Its total DFT energy (no corrections) is -5.74 eV/atom. For the raw formation energy, the calculation gives -0.618 eV per atom.


3.
Crystalline HfCdS2 at its relaxed geometry. Source: Alexandria, functional PBEsol.

It has space group R-3m (No. 166, hexagonal axes), with a = 3.4691 Å, b = 3.4691 Å, c = 25.7221 Å, α = 90.00°, β = 90.00° and γ = 120.00°. The inequivalent atoms are Hf at (0.0000, 0.0000, 0.0000), Cd at (0.0000, 0.0000, 0.5000) and S at (0.0000, 0.0000, 0.3924).

Its total DFT energy (no corrections) is -6.23 eV/atom. For the raw formation energy, the calculation gives -1.109 eV per atom.


4.
Crystalline HfCdS2 at its relaxed geometry. Source: Alexandria, functional PBEsol.

It has space group R-3m (No. 166, hexagonal axes), with a = 3.7019 Å, b = 3.7019 Å, c = 23.3929 Å, α = 90.00°, β = 90.00° and γ = 120.00°. The inequivalent atoms are Hf at (0.0000, 0.0000, 0.0000), Cd at (0.0000, 0.0000, 0.5000) and S at (0.0000, 0.0000, 0.1014).

Its total DFT energy (no corrections) is -5.43 eV/atom. For the raw formation energy, the calculation gives -0.315 eV per atom.


5.
Crystalline HfCd3Sb at its relaxed geometry. Source: Alexandria, functional PBEsol.

It has space group Pm-3m (No. 221), with a = 5.2993 Å, b = 5.2993 Å, c = 5.2993 Å, α = 90.00°, β = 90.00° and γ = 90.00°. The inequivalent atoms are Hf at (0.0000, 0.0000, 0.0000), Cd at (0.0000, 0.5000, 0.5000) and Sb at (0.5000, 0.5000, 0.5000).

Its total DFT energy (no corrections) is -2.63 eV/atom. For the raw formation energy, the calculation gives 1.100 eV per atom.


6.
Crystalline Hf2Cd2Sb at its relaxed geometry. Source: Alexandria, functional PBEsol.

It has space group I4/mmm (No. 139), with a = 4.0192 Å, b = 4.0192 Å, c = 14.5409 Å, α = 90.00°, β = 90.00° and γ = 90.00°. The inequivalent atoms are Hf at (0.0000, 0.5000, 0.2500), Cd at (0.0000, 0.0000, 0.0949) and Sb at (0.0000, 0.0000, 0.5000).

Its total DFT energy (no corrections) is -5.20 eV/atom. For the raw formation energy, the calculation gives 0.393 eV per atom.


Question: The highest total DFT energy (no corrections) belongs to which entry?
Answer: HfCd3Sb


Question: The highest total DFT energy (no corrections) belongs to which entry?
Answer: HfCd3Sb


Please write out number 1 again, unchanged.
Crystalline HfCdRu3 at its relaxed geometry. Source: Alexandria, functional PBEsol.

It has space group Pm-3m (No. 221), with a = 4.6547 Å, b = 4.6547 Å, c = 4.6547 Å, α = 90.00°, β = 90.00° and γ = 90.00°. The inequivalent atoms are Hf at (0.0000, 0.0000, 0.0000), Cd at (0.5000, 0.5000, 0.5000) and Ru at (0.0000, 0.5000, 0.5000).

Its total DFT energy (no corrections) is -6.46 eV/atom. Its energy of formation is 955 kJ/mol of formula units.